Record 1
# GGA-PBE AlNi2Sb, relaxed
data_AlNi2Sb
_symmetry_space_group_name_H-M 'P 1'
_symmetry_Int_Tables_number 1
_symmetry_space_group_name_Hall 'P 1'
_cell_length_a 4.336
_cell_length_b 4.336
_cell_length_c 4.336
_cell_angle_alpha 60.00
_cell_angle_beta 60.00
_cell_angle_gamma 60.00
loop_
_atom_site_label
_atom_site_type_symbol
_atom_site_fract_x
_atom_site_fract_y
_atom_site_fract_z
Al1 Al 0.000 0.000 0.000
Ni1 Ni 0.250 0.250 0.250
Ni2 Ni 0.750 0.750 0.750
Sb1 Sb 0.500 0.500 0.500
# M_tot in μB/cell: 0.00
# Final energy in eV per atom: -5.01
# Calculated density in kg/m³: 7668
# Energy relative to the elements, uncorrected in kJ/mol of atoms: -15
# Space-group type: Fm-3m, No. 225

---

Record 2
# GGA-PBE CaSe, relaxed
data_CaSe
_symmetry_space_group_name_H-M 'P 1'
_symmetry_Int_Tables_number 1
_symmetry_space_group_name_Hall 'P 1'
_cell_length_a 7.619
_cell_length_b 7.619
_cell_length_c 7.619
_cell_angle_alpha 98.56
_cell_angle_beta 98.56
_cell_angle_gamma 134.61
loop_
_atom_site_label
_atom_site_type_symbol
_atom_site_fract_x
_atom_site_fract_y
_atom_site_fract_z
Ca1 Ca 0.144 0.644 0.788
Ca2 Ca 0.356 0.144 0.500
Ca3 Ca 0.644 0.856 0.500
Ca4 Ca 0.856 0.356 0.212
Se1 Se 0.150 0.350 0.500
Se2 Se 0.350 0.850 0.201
Se3 Se 0.650 0.150 0.799
Se4 Se 0.850 0.650 0.500
# M_tot in μB/cell: 0.00
# Final energy in eV per atom: -4.63
# Calculated density in kg/m³: 2722
# Energy relative to the elements, uncorrected in kJ/mol of atoms: -182
# Space-group type: I4/mcm, No. 140

---

Record 3
# GGA-PBE TiRe2Pb, relaxed
data_TiRe2Pb
_symmetry_space_group_name_H-M 'P 1'
_symmetry_Int_Tables_number 1
_symmetry_space_group_name_Hall 'P 1'
_cell_length_a 10.003
_cell_length_b 10.003
_cell_length_c 10.003
_cell_angle_alpha 156.63
_cell_angle_beta 156.63
_cell_angle_gamma 33.28
loop_
_atom_site_label
_atom_site_type_symbol
_atom_site_fract_x
_atom_site_fract_y
_atom_site_fract_z
Ti1 Ti 0.000 0.000 0.000
Ti2 Ti 0.750 0.250 0.500
Re1 Re 0.048 0.625 0.923
Re2 Re 0.375 0.298 0.423
Re3 Re 0.702 0.125 0.077
Re4 Re 0.875 0.952 0.577
Pb1 Pb 0.250 0.750 0.500
Pb2 Pb 0.500 0.500 0.000
# M_tot in μB/cell: 0.00
# Final energy in eV per atom: -8.33
# Calculated density in kg/m³: 13246
# Space-group type: I-42d, No. 122

---

Record 4
# GGA-PBE K3FeBr5, relaxed
data_K3FeBr5
_symmetry_space_group_name_H-M 'P 1'
_symmetry_Int_Tables_number 1
_symmetry_space_group_name_Hall 'P 1'
_cell_length_a 9.824
_cell_length_b 9.824
_cell_length_c 9.824
_cell_angle_alpha 124.77
_cell_angle_beta 124.77
_cell_angle_gamma 81.92
loop_
_atom_site_label
_atom_site_type_symbol
_atom_site_fract_x
_atom_site_fract_y
_atom_site_fract_z
K1 K 0.161 0.661 0.821
K2 K 0.250 0.250 0.000
K3 K 0.339 0.161 0.500
K4 K 0.661 0.839 0.500
K5 K 0.750 0.750 0.000
K6 K 0.839 0.339 0.179
Fe1 Fe 0.250 0.750 0.500
Fe2 Fe 0.750 0.250 0.500
Br1 Br 0.000 0.000 0.000
Br2 Br 0.001 0.797 0.500
Br3 Br 0.203 0.703 0.204
Br4 Br 0.297 0.501 0.500
Br5 Br 0.499 0.999 0.796
Br6 Br 0.500 0.500 0.000
Br7 Br 0.501 0.001 0.204
Br8 Br 0.703 0.499 0.500
Br9 Br 0.797 0.297 0.796
Br10 Br 0.999 0.203 0.500
# M_tot in μB/cell: 8.00
# Final energy in eV per atom: -3.52
# Calculated density in kg/m³: 3091
# Energy relative to the elements, uncorrected in kJ/mol of atoms: -124
# Space-group type: I4/mcm, No. 140